This record from Alexandria via LeMat-Bulk describes a geometry-optimized SnP7Au3 structure. The functional is GGA-PBE. Values from VASP.

Computed properties:
The calculation puts the total energy at -4.8004 eV/atom. The volume is 19.92 Å³/atom. The space-group type is No. 11. The density of states at the Fermi level is 1.10 states/eV/cell. The crystal system is monoclinic. For the density, the calculation gives 7.0 g/cm3.

The structure in Quantum ESPRESSO input format:
```
&SYSTEM
  ibrav = 0, nat = 22, ntyp = 3
/
ATOMIC_SPECIES
Sn 118.71 Sn.upf
P 30.97 P.upf
Au 196.97 Au.upf
ATOMIC_POSITIONS angstrom
Sn -4.4751 2.6342 0.9517
Sn -3.7613 7.0789 7.5197
P -2.1946 2.3890 2.3260
P -6.0419 7.3241 6.1454
P -2.5963 5.6059 5.6246
P -5.6246 0.5692 2.1899
P -5.6402 4.1072 2.8468
P -2.6118 9.1439 6.2815
P -3.2650 3.5195 5.8643
P -4.9867 9.6584 3.2504
P -6.8851 9.0539 7.2504
P -1.3678 4.4073 1.9170
P -1.3514 0.6592 1.2210
P -6.8686 5.3058 6.5545
P -3.2498 0.0547 5.2210
P -4.9714 6.1936 2.6071
Au -2.6054 6.1590 3.2331
Au -5.6164 0.2271 4.6205
Au -5.6310 3.5541 5.2383
Au -2.6201 9.4860 3.8509
Au -1.7117 1.9472 4.7168
Au -6.5248 7.7658 3.7546
CELL_PARAMETERS angstrom
-0.0481 10.9447 2.0321
-6.3736 -0.0811 0.2857
-1.8148 -1.1505 6.1536
```